No. 1
A plane-wave DFT calculation with GGA-PBE was carried out for a geometry-optimized Na2LiAgCl5 structure.

a = 3.943 Å, b = 8.034 Å, c = 13.797 Å
α = 90.00°, β = 90.00°, γ = 104.21°
Site moments in Bohr magnetons follow the coordinates.
Atoms (fractional coordinates):
Ag (0.545, 0.090, 0.945)  0.29
Na (0.845, 0.691, 0.769)  0.00
Cl (0.075, 0.150, 0.068)  0.10
Cl (0.701, 0.403, 0.911)  0.13
Cl (0.299, 0.597, 0.411)  0.13
Na (0.155, 0.309, 0.269)  0.00
Ag (0.455, 0.910, 0.445)  0.29
Cl (0.745, 0.490, 0.167)  0.01
Cl (0.505, 0.010, 0.273)  0.09
Na (0.084, 0.168, 0.656)  0.00
Na (0.916, 0.832, 0.156)  0.00
Cl (0.495, 0.990, 0.773)  0.09
Li (0.229, 0.459, 0.035)  0.00
Cl (0.608, 0.216, 0.499)  0.12
Cl (0.392, 0.784, 0.999)  0.12
Li (0.771, 0.541, 0.535)  0.00
Cl (0.255, 0.510, 0.667)  0.01
Cl (0.925, 0.850, 0.568)  0.10

Summary:
The magnetization comes out at 0.87 μB/f.u. As for the energy relative to the elements, uncorrected: -1261 meV/atom.

No. 2
A plane-wave DFT calculation with GGA-PBE was carried out for a geometry-optimized PAuCl2F structure.

a = 5.395 Å, b = 5.395 Å, c = 3.560 Å
α = 90.00°, β = 90.00°, γ = 90.00°
Atoms (fractional coordinates):
Cl (0.500, 0.000, 0.000)
P (0.000, 0.000, 0.500)
Au (0.500, 0.500, 0.500)
F (0.000, 0.000, 0.000)
Cl (0.000, 0.500, 0.000)

Summary:
For the energy above the lowest structure with this stoichiometry, the calculation gives 0 meV per atom. The magnetization comes out at 0.00 μB/f.u. As for the energy relative to the elements, uncorrected: 273 meV/atom.

No. 3
A plane-wave DFT calculation with GGA-PBE was carried out for a geometry-optimized ZrMn2In structure.

a = 5.554 Å, b = 5.554 Å, c = 4.475 Å
α = 66.25°, β = 66.25°, γ = 33.63°
Site moments in Bohr magnetons follow the coordinates.
Atoms (fractional coordinates):
Zr (0.495, 0.495, 0.505)  0.22
In (0.271, 0.271, 0.229)  -0.04
Mn (0.017, 0.017, 0.983)  -2.16
Mn (0.717, 0.717, 0.783)  3.00

Summary:
The magnetization comes out at 1.15 μB/f.u. As for the formation energy: 99 meV/atom.

No. 4
A plane-wave DFT calculation with GGA-PBE was carried out for a geometry-optimized RbGa2TeO6 structure.

a = 6.218 Å, b = 7.469 Å, c = 7.469 Å
α = 92.76°, β = 78.88°, γ = 78.88°
Site moments in Bohr magnetons follow the coordinates.
Atoms (fractional coordinates):
Ga (0.360, 0.790, 0.632)  0.00
O (0.792, 0.966, 0.281)  0.04
O (0.921, 0.377, 0.767)  0.20
O (0.164, 0.654, 0.747)  0.06
O (0.208, 0.034, 0.719)  0.04
Ga (0.860, 0.632, 0.790)  0.00
O (0.708, 0.719, 0.034)  0.04
Rb (0.250, 0.905, 0.095)  0.00
O (0.836, 0.346, 0.253)  0.06
Rb (0.750, 0.095, 0.905)  0.00
Te (0.750, 0.717, 0.283)  0.16
Te (0.250, 0.283, 0.717)  0.16
Ga (0.140, 0.368, 0.210)  0.00
O (0.336, 0.253, 0.346)  0.06
O (0.292, 0.281, 0.966)  0.04
O (0.579, 0.233, 0.623)  0.20
O (0.664, 0.747, 0.654)  0.06
O (0.421, 0.767, 0.377)  0.20
O (0.079, 0.623, 0.233)  0.20
Ga (0.640, 0.210, 0.368)  0.00

Summary:
The magnetization comes out at 0.91 μB/f.u. As for the energy relative to the elements, uncorrected: -1430 meV/atom.

No. 5
A plane-wave DFT calculation with GGA-PBE was carried out for a geometry-optimized Sc2CrRe structure.

a = 4.651 Å, b = 4.651 Å, c = 4.651 Å
α = 60.00°, β = 60.00°, γ = 60.00°
Site moments in Bohr magnetons follow the coordinates.
Atoms (fractional coordinates):
Sc (0.250, 0.250, 0.250)  0.13
Re (0.500, 0.500, 0.500)  0.14
Sc (0.750, 0.750, 0.750)  0.13
Cr (0.000, 0.000, 0.000)  3.26

Summary:
For the energy above the lowest structure with this stoichiometry, the calculation gives 147 meV per atom. The magnetization comes out at 4.32 μB/f.u. As for the formation energy: 130 meV/atom.

No. 6
A plane-wave DFT calculation with GGA-PBE was carried out for a geometry-optimized LaSiPb structure.

a = 5.150 Å, b = 5.150 Å, c = 5.150 Å
α = 60.00°, β = 60.00°, γ = 60.00°
Atoms (fractional coordinates):
Pb (0.000, 0.000, 0.000)
Si (0.500, 0.500, 0.500)
La (0.750, 0.750, 0.750)

Summary:
For the energy above the lowest structure with this stoichiometry, the calculation gives 668 meV per atom. The magnetization comes out at 0.00 μB/f.u. As for the energy relative to the elements, uncorrected: 125 meV/atom.

No. 7
A plane-wave DFT calculation with GGA-PBE was carried out for a geometry-optimized YGa4 structure.

a = 4.533 Å, b = 6.278 Å, c = 7.795 Å
α = 113.75°, β = 106.90°, γ = 90.00°
Atoms (fractional coordinates):
Y (0.114, 0.864, 0.228)
Y (0.886, 0.136, 0.772)
Ga (0.699, 0.660, 0.399)
Ga (0.892, 0.642, 0.784)
Ga (0.500, 0.500, 0.000)
Ga (0.699, 0.238, 0.399)
Ga (0.108, 0.358, 0.216)
Ga (0.301, 0.340, 0.601)
Ga (0.500, 0.000, 0.000)
Ga (0.301, 0.762, 0.601)

Summary:
For the energy above the lowest structure with this stoichiometry, the calculation gives 0 meV per atom. The magnetization comes out at 0.00 μB/f.u. As for the formation energy: -420 meV/atom.

No. 8
A plane-wave DFT calculation with GGA-PBE was carried out for a geometry-optimized CrCoTc2 structure.

a = 8.695 Å, b = 8.695 Å, c = 8.695 Å
α = 17.58°, β = 17.58°, γ = 17.58°
Site moments in Bohr magnetons follow the coordinates.
Atoms (fractional coordinates):
Tc (0.000, 0.000, 0.000)  -0.01
Cr (0.750, 0.750, 0.750)  0.16
Tc (0.500, 0.500, 0.500)  -0.01
Co (0.250, 0.250, 0.250)  0.96

Summary:
For the energy above the lowest structure with this stoichiometry, the calculation gives 143 meV per atom. The magnetization comes out at 1.08 μB/f.u. As for the formation energy: 205 meV/atom.

No. 9
A plane-wave DFT calculation with GGA-PBE was carried out for a geometry-optimized Sm2DyHo4 structure.

a = 6.068 Å, b = 6.586 Å, c = 11.624 Å
α = 90.00°, β = 105.25°, γ = 90.00°
Atoms (fractional coordinates):
Ho (0.141, 0.750, 0.426)
Sm (0.608, 0.750, 0.007)
Ho (0.014, 0.250, 0.162)
Ho (0.634, 0.005, 0.289)
Dy (0.834, 0.250, 0.858)
Ho (0.634, 0.495, 0.289)
Ho (0.366, 0.995, 0.711)
Ho (0.859, 0.250, 0.574)
Sm (0.707, 0.750, 0.553)
Ho (0.366, 0.505, 0.711)
Dy (0.166, 0.750, 0.142)
Ho (0.986, 0.750, 0.838)
Sm (0.392, 0.250, 0.993)
Sm (0.293, 0.250, 0.447)

Summary:
For the energy above the lowest structure with this stoichiometry, the calculation gives 89 meV per atom. The magnetization comes out at 0.00 μB/f.u. As for the formation energy: 136 meV/atom.

No. 10
A plane-wave DFT calculation with GGA-PBE was carried out for a geometry-optimized Ag4Hg2Pd3 structure.

a = 4.132 Å, b = 5.121 Å, c = 8.775 Å
α = 71.04°, β = 89.97°, γ = 66.29°
Atoms (fractional coordinates):
Ag (0.003, 0.994, 0.340)
Hg (0.668, 0.665, 0.227)
Pd (0.666, 0.666, 0.557)
Pd (0.000, 0.000, 0.000)
Ag (0.997, 0.006, 0.660)
Hg (0.332, 0.335, 0.773)
Ag (0.666, 0.668, 0.889)
Ag (0.334, 0.332, 0.111)
Pd (0.334, 0.334, 0.443)

Summary:
The magnetization comes out at 0.00 μB/f.u. As for the formation energy: -65 meV/atom.

No. 11
A plane-wave DFT calculation with GGA-PBE was carried out for a geometry-optimized Cu2TcSe structure.

a = 4.363 Å, b = 2.703 Å, c = 5.243 Å
α = 69.57°, β = 90.00°, γ = 90.00°
Atoms (fractional coordinates):
Cu (0.000, 0.159, 0.993)
Cu (0.000, 0.341, 0.507)
Tc (0.500, 0.750, 0.750)
Se (0.500, 0.250, 0.250)

Summary:
The magnetization comes out at 0.00 μB/f.u. As for the energy relative to the elements, uncorrected: 418 meV/atom.

No. 12
A plane-wave DFT calculation with GGA-PBE was carried out for a geometry-optimized CeErRh4 structure.

a = 5.340 Å, b = 5.340 Å, c = 5.340 Å
α = 60.00°, β = 60.00°, γ = 60.00°
Atoms (fractional coordinates):
Rh (0.625, 0.625, 0.126)
Rh (0.625, 0.126, 0.625)
Rh (0.126, 0.625, 0.625)
Ce (0.000, 0.000, 0.000)
Rh (0.625, 0.625, 0.625)
Er (0.250, 0.250, 0.250)

Summary:
The magnetization comes out at 0.00 μB/f.u. As for the formation energy: -720 meV/atom.